[1]
Nd3TeSeBr: optimized geometry, GGA-PBE.

The uncorrected formation energy is -1.386 eV per atom. The calculated volume is 30.2 Å³/atom.

a = 8.6271 Å, b = 4.2468 Å, c = 10.1268 Å
α = 90.00°, β = 102.57°, γ = 90.00°
Space group P2_1/m (No. 11)
Unique sites:
Nd  0.0731  0.2500  0.3491 (multiplicity 2)
Nd  0.1957  0.2500  0.9940 (multiplicity 2)
Nd  0.3945  0.7500  0.6089 (multiplicity 2)
Te  0.3161  0.7500  0.2701 (multiplicity 2)
Se  0.1624  0.2500  0.6490 (multiplicity 2)
Br  0.3923  0.7500  0.8985 (multiplicity 2)


[2]
Nd7SiBr12: optimized geometry, GGA-PBE.

The uncorrected formation energy is -1.659 eV per atom. The calculated volume is 34.7 Å³/atom.

a = 15.2854 Å, b = 15.2854 Å, c = 10.2827 Å
α = 90.00°, β = 90.00°, γ = 120.00°
Space group R-3 (No. 148, hexagonal axes)
Unique sites:
Nd  0.0000  0.0000  0.0000 (multiplicity 3)
Nd  0.0461  0.8775  0.3456 (multiplicity 18)
Si  0.0000  0.0000  0.5000 (multiplicity 3)
Br  0.0240  0.4374  0.1650 (multiplicity 18)
Br  0.0486  0.8697  0.8391 (multiplicity 18)


[3]
Nd4SiBr5: optimized geometry, GGA-PBE.

The uncorrected formation energy is -1.519 eV per atom. The calculated volume is 33.3 Å³/atom.

a = 18.8189 Å, b = 4.1917 Å, c = 8.6951 Å
α = 90.00°, β = 103.50°, γ = 90.00°
Space group C2/m (No. 12)
Unique sites:
Nd  0.0004  0.0000  0.2249 (multiplicity 4)
Nd  0.1518  0.5000  0.0817 (multiplicity 4)
Si  0.0000  0.5000  0.0000 (multiplicity 2)
Br  0.0000  0.5000  0.5000 (multiplicity 2)
Br  0.1666  0.0000  0.3316 (multiplicity 4)
Br  0.1705  0.0000  0.8401 (multiplicity 4)


[4]
Nd2SiBr: optimized geometry, GGA-PBE.

The uncorrected formation energy is -1.080 eV per atom. The calculated volume is 29.0 Å³/atom.

a = 4.2716 Å, b = 4.2716 Å, c = 22.0579 Å
α = 90.00°, β = 90.00°, γ = 120.00°
Space group R-3m (No. 166, hexagonal axes)
Unique sites:
Nd  0.0000  0.0000  0.2368 (multiplicity 6)
Si  0.0000  0.0000  0.5000 (multiplicity 3)
Br  0.0000  0.0000  0.0000 (multiplicity 3)